--- a ---
8
Lattice="-2.951 2.951 4.152 2.951 -2.951 4.152 2.951 2.951 -4.152" Properties=species:S:1:pos:R:3 comment="Pd2CBr | Alexandria via LeMat-Bulk | PBE | optimized geometry" volume_a3_per_cell=144.66 space_group="I-42d (122)" pbc="T T T"
Pd 4.427 0.831 -1.038
Pd 0.831 1.476 1.038
Pd -1.476 2.120 3.114
Pd 2.120 1.476 5.191
C 0.000 0.000 0.000
C 0.000 2.951 2.076
Br 2.951 0.000 2.076
Br 0.000 0.000 4.152

--- b ---
4
Lattice="0.000 3.095 3.095 3.095 0.000 3.095 3.095 3.095 0.000" Properties=species:S:1:pos:R:3 comment="Pd2CBr | Alexandria via LeMat-Bulk | PBE | optimized geometry" volume_a3_per_cell=59.31 space_group="Fm-3m (225)" pbc="T T T"
Pd 1.548 1.548 1.548
Pd 4.643 4.643 4.643
C 0.000 0.000 0.000
Br 3.095 3.095 3.095

Result of the stability comparison: a is the most stable of them.

--- a ---
5
Lattice="3.380 -1.950 0.000 3.380 1.950 0.000 -1.436 0.000 11.055" Properties=species:S:1:pos:R:3 comment="Pm2CBr2 | Alexandria via LeMat-Bulk | PBE | optimized geometry" volume_a3_per_cell=145.69 space_group="C2/m (12)" pbc="T T T"
Pm 1.127 0.000 1.406
Pm 4.196 0.000 9.649
C 3.380 0.000 0.000
Br -0.310 0.000 7.682
Br 5.633 0.000 3.373

--- b ---
5
Lattice="1.913 1.104 11.007 -1.913 1.104 11.007 0.000 -2.209 11.007" Properties=species:S:1:pos:R:3 comment="Pm2CBr2 | Alexandria via LeMat-Bulk | PBE | optimized geometry" volume_a3_per_cell=139.49 space_group="R-3m (166)" pbc="T T T"
Pm 0.000 0.000 4.076
Pm 0.000 0.000 28.944
C 0.000 0.000 16.510
Br 0.000 0.000 13.031
Br 0.000 0.000 19.989

Result of the stability comparison: a is the most stable of them.

--- a ---
4
Lattice="1.896 1.095 7.360 -1.896 1.095 7.360 0.000 -2.190 7.360" Properties=species:S:1:pos:R:3 comment="Pm2CBr | Alexandria via LeMat-Bulk | PBE | optimized geometry" volume_a3_per_cell=91.69 space_group="R-3m (166)" pbc="T T T"
Pm 0.000 0.000 5.026
Pm 0.000 0.000 17.054
C 0.000 0.000 11.040
Br 0.000 0.000 0.000

--- b ---
4
Lattice="1.887 1.089 7.430 -1.887 1.089 7.430 0.000 -2.179 7.430" Properties=species:S:1:pos:R:3 comment="Pm2CBr | Alexandria via LeMat-Bulk | PBE | optimized geometry" volume_a3_per_cell=91.63 space_group="R3m (160)" pbc="T T T"
Pm 0.000 0.000 0.000
Pm 0.000 0.000 4.717
C 0.000 0.000 13.486
Br 0.000 0.000 17.241

Result of the stability comparison: a is the most stable of them.

--- a ---
10
Lattice="7.251 0.000 0.000 0.000 7.251 0.000 0.000 0.000 3.407" Properties=species:S:1:pos:R:3 comment="PtC2Br2 | Alexandria via LeMat-Bulk | PBE | optimized geometry" volume_a3_per_cell=179.11 space_group="P4/mbm (127)" pbc="T T T"
Pt 0.000 0.000 0.000
Pt 3.626 3.626 0.000
C 1.586 2.039 1.703
C 2.039 5.665 1.703
C 5.212 1.586 1.703
C 5.665 5.212 1.703
Br 1.234 4.860 0.000
Br 2.391 1.234 0.000
Br 4.860 6.017 0.000
Br 6.017 2.391 0.000

--- b ---
5
Lattice="-2.370 2.370 3.938 2.370 -2.370 3.938 2.370 2.370 -3.938" Properties=species:S:1:pos:R:3 comment="PtC2Br2 | Alexandria via LeMat-Bulk | PBE | optimized geometry" volume_a3_per_cell=88.48 space_group="I4/mmm (139)" pbc="T T T"
Pt 0.000 0.000 0.000
C 2.370 0.000 1.969
C 0.000 2.370 1.969
Br 0.000 0.000 2.373
Br 0.000 0.000 5.502

Result of the stability comparison: a is the most stable of them.

--- a ---
8
Lattice="-2.953 2.953 4.149 2.953 -2.953 4.149 2.953 2.953 -4.149" Properties=species:S:1:pos:R:3 comment="Pt2CBr | Alexandria via LeMat-Bulk | PBE | optimized geometry" volume_a3_per_cell=144.70 space_group="I-42d (122)" pbc="T T T"
Pt 4.429 0.839 -1.037
Pt 0.839 1.476 1.037
Pt -1.476 2.114 3.112
Pt 2.114 1.476 5.187
C 0.000 0.000 0.000
C 0.000 2.953 2.075
Br 2.953 0.000 2.075
Br 0.000 0.000 4.149

--- b ---
4
Lattice="0.000 3.109 3.109 3.109 0.000 3.109 3.109 3.109 0.000" Properties=species:S:1:pos:R:3 comment="Pt2CBr | Alexandria via LeMat-Bulk | PBE | optimized geometry" volume_a3_per_cell=60.09 space_group="Fm-3m (225)" pbc="T T T"
Pt 1.554 1.554 1.554
Pt 4.663 4.663 4.663
C 0.000 0.000 0.000
Br 3.109 3.109 3.109

Result of the stability comparison: a is the most stable of them.

--- a ---
8
Lattice="-2.853 2.853 5.642 2.853 -2.853 5.642 2.853 2.853 -5.642" Properties=species:S:1:pos:R:3 comment="PtCBr2 | Alexandria via LeMat-Bulk | PBE | optimized geometry" volume_a3_per_cell=183.73 space_group="I-42d (122)" pbc="T T T"
Pt 0.000 0.000 0.000
Pt 0.000 2.853 2.821
C 2.853 0.000 2.821
C 0.000 0.000 5.642
Br 1.427 -1.266 4.232
Br 1.588 1.427 1.411
Br 1.427 4.119 -1.411
Br 1.266 1.427 7.053

--- b ---
4
Lattice="0.000 3.279 3.279 3.279 0.000 3.279 3.279 3.279 0.000" Properties=species:S:1:pos:R:3 comment="PtCBr2 | Alexandria via LeMat-Bulk | PBE | optimized geometry" volume_a3_per_cell=70.51 space_group="Fm-3m (225)" pbc="T T T"
Pt 0.000 0.000 0.000
C 3.279 3.279 3.279
Br 1.640 1.640 1.640
Br 4.919 4.919 4.919

--- c ---
4
Lattice="1.684 0.972 7.919 -1.684 0.972 7.919 0.000 -1.944 7.919" Properties=species:S:1:pos:R:3 comment="PtCBr2 | Alexandria via LeMat-Bulk | PBE | optimized geometry" volume_a3_per_cell=77.79 space_group="R-3m (166)" pbc="T T T"
Pt 0.000 0.000 0.000
C 0.000 0.000 11.878
Br 0.000 0.000 2.434
Br 0.000 0.000 21.323

Result of the stability comparison: c is the most stable of them.